Entry 1:
The following is a DFT calculation (GGA-PBE) of CaScTiPt2 after structural relaxation.

Calculated values
For the offset from the most stable computed form, the calculation gives 1025.8 meV/atom. Its space group is P4/mmm (123). As for the density: 7.84 Mg/m³. For the energy relative to the elements, the calculation gives 129.4 meV per atom. For the total magnetic moment, the calculation gives 0.00 μB per cell. For the density of states at the Fermi level, the calculation gives 0.690 states/eV per atom.

Lattice parameters (Å, degrees): 4.7781 4.7781 4.8526 90.00 90.00 90.00
Atoms (fractional coordinates):
1 Ca 0.0000 0.0000 0.0000
2 Sc 0.5000 0.5000 0.0000
3 Ti 0.0000 0.0000 0.5000
4 Pt 0.0000 0.5000 0.5000
5 Pt 0.5000 0.0000 0.5000

Entry 2:
The following is a DFT calculation (GGA-PBE) of CaScTlPt after structural relaxation.

Calculated values
Its space group is F-43m (216). As for the density: 9.05 Mg/m³. For the energy relative to the elements, the calculation gives -588.0 meV per atom. For the total magnetic moment, the calculation gives 0.00 μB per cell. For the density of states at the Fermi level, the calculation gives 0.458 states/eV per atom.

Lattice parameters (Å, degrees): 5.0096 5.0096 5.0096 60.00 60.00 60.00
Atoms (fractional coordinates):
1 Ca 0.0000 0.0000 0.0000
2 Sc 0.5000 0.5000 0.5000
3 Tl 0.7500 0.7500 0.7500
4 Pt 0.2500 0.2500 0.2500

Entry 3:
The following is a DFT calculation (GGA-PBE) of CaYSc2Pt2 after structural relaxation.

Calculated values
Its space group is P-3m1 (164). As for the density: 7.36 Mg/m³. For the energy relative to the elements, the calculation gives -754.5 meV per atom. For the total magnetic moment, the calculation gives 0.00 μB per cell. For the density of states at the Fermi level, the calculation gives 1.131 states/eV per atom.

Lattice parameters (Å, degrees): 4.7353 4.7353 7.0771 90.00 90.00 120.00
Atoms (fractional coordinates):
1 Ca 0.0000 0.0000 0.0000
2 Y 0.0000 0.0000 0.5000
3 Sc 0.3333 0.6667 0.2659
4 Sc 0.6667 0.3333 0.7341
5 Pt 0.3333 0.6667 0.7096
6 Pt 0.6667 0.3333 0.2904

Entry 4:
The following is a DFT calculation (GGA-PBE) of CaScZn2Pt2 after structural relaxation.

Calculated values
Its space group is P-3m1 (164). As for the density: 8.64 Mg/m³. For the energy relative to the elements, the calculation gives -799.5 meV per atom. For the total magnetic moment, the calculation gives 0.00 μB per cell. For the density of states at the Fermi level, the calculation gives 0.784 states/eV per atom.

Lattice parameters (Å, degrees): 4.4295 4.4295 6.8528 90.00 90.00 120.00
Atoms (fractional coordinates):
1 Ca 0.0000 0.0000 0.0000
2 Sc 0.0000 0.0000 0.5000
3 Zn 0.3333 0.6667 0.7126
4 Zn 0.6667 0.3333 0.2874
5 Pt 0.3333 0.6667 0.2964
6 Pt 0.6667 0.3333 0.7036

Entry 5:
The following is a DFT calculation (GGA-PBE) of CaScZnPt after structural relaxation.

Calculated values
Its space group is F-43m (216). As for the density: 7.16 Mg/m³. For the energy relative to the elements, the calculation gives -633.4 meV per atom. For the total magnetic moment, the calculation gives 0.00 μB per cell. For the density of states at the Fermi level, the calculation gives 0.750 states/eV per atom.

Lattice parameters (Å, degrees): 4.8390 4.8390 4.8390 60.00 60.00 60.00
Atoms (fractional coordinates):
1 Ca 0.0000 0.0000 0.0000
2 Sc 0.5000 0.5000 0.5000
3 Zn 0.7500 0.7500 0.7500
4 Pt 0.2500 0.2500 0.2500

Entry 6:
The following is a DFT calculation (GGA-PBE) of CaZrScPt2 after structural relaxation.

Calculated values
Its space group is I-4m2 (119). As for the density: 8.14 Mg/m³. For the energy relative to the elements, the calculation gives -924.7 meV per atom. For the total magnetic moment, the calculation gives 0.00 μB per cell. For the density of states at the Fermi level, the calculation gives 0.849 states/eV per atom.

Lattice parameters (Å, degrees): 6.4219 6.4219 6.4219 138.40 138.40 60.29
Atoms (fractional coordinates):
1 Ca 0.0000 0.0000 0.0000
2 Zr 0.7500 0.2500 0.5000
3 Sc 0.2500 0.7500 0.5000
4 Pt 0.3811 0.3811 0.0000
5 Pt 0.6189 0.6189 0.0000

Entry 7:
The following is a DFT calculation (GGA-PBE) of CaPtSe2 after structural relaxation.

Calculated values
For the offset from the most stable computed form, the calculation gives 182.2 meV/atom. Its space group is Cm (8). As for the density: 7.48 Mg/m³. The calculation puts the formation energy (no corrections) at -0.81 eV/atom. For the total magnetic moment, the calculation gives 0.00 μB per cell. For the density of states at the Fermi level, the calculation gives 0.532 states/eV per atom.

Lattice parameters (Å, degrees): 6.0179 6.0179 3.9942 90.19 90.19 37.12
Atoms (fractional coordinates):
1 Ca 0.0000 0.0000 0.0000
2 Pt 0.2251 0.2251 0.5018
3 Se 0.4432 0.4432 0.4994
4 Se 0.7193 0.7193 0.0004

Entry 8:
The following is a DFT calculation (GGA-PBE) of Ca2PtSe after structural relaxation.

Calculated values
Its space group is R-3m (166). As for the density: 5.70 Mg/m³. The calculation puts the formation energy (no corrections) at -1.32 eV/atom. For the total magnetic moment, the calculation gives 0.00 μB per cell.

Lattice parameters (Å, degrees): 7.2961 7.2961 7.2961 33.12 33.12 33.12
Atoms (fractional coordinates):
1 Ca 0.2502 0.2502 0.2502
2 Ca 0.7498 0.7498 0.7498
3 Pt 0.0000 0.0000 0.0000
4 Se 0.5000 0.5000 0.5000

Entry 9:
The following is a DFT calculation (GGA-PBE) of CaPtSe2 after structural relaxation.

Calculated values
For the offset from the most stable computed form, the calculation gives 235.5 meV/atom. Its space group is I-42d (122). As for the density: 5.94 Mg/m³. The calculation puts the formation energy (no corrections) at -0.75 eV/atom. For the total magnetic moment, the calculation gives 0.00 μB per cell. For the density of states at the Fermi level, the calculation gives 0.122 states/eV per atom.

Lattice parameters (Å, degrees): 8.2573 8.2573 8.2573 141.15 141.15 56.12
Atoms (fractional coordinates):
1 Ca 0.0000 0.0000 0.0000
2 Ca 0.7500 0.2500 0.5000
3 Pt 0.2500 0.7500 0.5000
4 Pt 0.5000 0.5000 0.0000
5 Se 0.1908 0.6250 0.0658
6 Se 0.3750 0.4408 0.5658
7 Se 0.5592 0.1250 0.9342
8 Se 0.8750 0.8092 0.4342

Entry 10:
The following is a DFT calculation (GGA-PBE) of CaPtSe2 after structural relaxation.

Calculated values
For the offset from the most stable computed form, the calculation gives 59.8 meV/atom. Its space group is Pm (6). As for the density: 6.52 Mg/m³. The calculation puts the formation energy (no corrections) at -0.93 eV/atom. For the total magnetic moment, the calculation gives 0.00 μB per cell. For the density of states at the Fermi level, the calculation gives 0.257 states/eV per atom.

Lattice parameters (Å, degrees): 4.4704 4.7796 4.8200 90.00 103.71 90.00
Atoms (fractional coordinates):
1 Ca 0.0000 0.0000 0.0000
2 Pt 0.4672 0.5000 0.3902
3 Se 0.3003 0.5000 0.8542
4 Se 0.6322 0.0000 0.4189

Entry 11:
The following is a DFT calculation (GGA-PBE) of Ca2PtSe after structural relaxation.

Calculated values
Its space group is F-43m (216). As for the density: 6.56 Mg/m³. The calculation puts the formation energy (no corrections) at -0.59 eV/atom. For the total magnetic moment, the calculation gives 0.00 μB per cell. For the density of states at the Fermi level, the calculation gives 0.411 states/eV per atom.

Lattice parameters (Å, degrees): 5.0231 5.0231 5.0231 60.00 60.00 60.00
Atoms (fractional coordinates):
1 Ca 0.0000 0.0000 0.0000
2 Ca 0.2500 0.2500 0.2500
3 Pt 0.7500 0.7500 0.7500
4 Se 0.5000 0.5000 0.5000

Entry 12:
The following is a DFT calculation (GGA-PBE) of CaPtSe2 after structural relaxation.

Calculated values
For the offset from the most stable computed form, the calculation gives 135.1 meV/atom. Its space group is P4mm (99). As for the density: 7.43 Mg/m³. The calculation puts the formation energy (no corrections) at -0.85 eV/atom. For the total magnetic moment, the calculation gives 0.00 μB per cell. For the density of states at the Fermi level, the calculation gives 0.354 states/eV per atom.

Lattice parameters (Å, degrees): 3.9664 3.9664 5.5842 90.00 90.00 90.00
Atoms (fractional coordinates):
1 Ca 0.0000 0.0000 0.0000
2 Pt 0.5000 0.5000 0.4966
3 Se 0.0000 0.0000 0.4991
4 Se 0.5000 0.5000 0.9948